# 1
The following is a PBE-GGA calculation of a geometry-optimized Ba2Cl structure, from Alexandria via LeMat-Bulk.

Cell: 8.0203 8.0203 11.7954 Å, 129.01 129.01 31.45°
With the nearest neighbours (Å) after each atom.
Fractional positions:
Ba (0.0643, 0.0643, 0.3795)  2 Cl 3.36
Ba (0.2396, 0.2396, 0.1811)  3 Cl 3.19-3.29
Ba (0.7604, 0.7604, 0.8189)  3 Cl 3.19-3.29
Ba (0.9357, 0.9357, 0.6205)  2 Cl 3.36
Cl (0.3975, 0.3975, 0.0956)  5 Ba 3.19-3.36
Cl (0.6025, 0.6025, 0.9044)  5 Ba 3.19-3.36

DOS(E_F): 5.443 states/eV per cell
DFT total energy: -2.99 eV/atom
E_form (uncorrected): -3.3 eV/f.u.
V: 49.921 Å³ per atom


# 2
The following is a PBE-GGA calculation of a geometry-optimized Ba2Cl structure, from Alexandria via LeMat-Bulk.

Cell: 5.5306 5.5306 5.5306 Å, 60.00 60.00 60.00°
With the nearest neighbours (Å) after each atom.
Fractional positions:
Ba (0.2500, 0.2500, 0.2500)  4 Cl 3.39
Ba (0.7500, 0.7500, 0.7500)  4 Cl 3.39
Cl (0.0000, 0.0000, 0.0000)  8 Ba 3.39

DOS(E_F): 2.747 states/eV per cell
DFT total energy: -2.75 eV/atom
E_form (uncorrected): -2.6 eV/f.u.
V: 39.872 Å³ per atom


# 3
The following is a PBE-GGA calculation of a geometry-optimized BaCl3 structure, from Alexandria via LeMat-Bulk.

Cell: 5.5767 5.5767 5.5767 Å, 110.28 110.28 110.28°
With the nearest neighbours (Å) after each atom.
Fractional positions:
Ba (0.0000, 0.0000, 0.0000)  6 Cl 3.19
Cl (0.0000, 0.5000, 0.5000)  4 Cl 3.19, 2 Ba 3.19
Cl (0.5000, 0.0000, 0.5000)  2 Ba 3.19, 4 Cl 3.19
Cl (0.5000, 0.5000, 0.0000)  4 Cl 3.19, 2 Ba 3.19

DOS(E_F): 4.116 states/eV per cell
DFT total energy: -3.41 eV/atom
E_form (uncorrected): -6.2 eV/f.u.
V: 32.340 Å³ per atom


# 4
The following is a PBE-GGA calculation of a geometry-optimized BaCl3 structure, from Alexandria via LeMat-Bulk.

Cell: 11.9883 11.9883 11.9883 Å, 156.96 156.96 32.81°
With the nearest neighbours (Å) after each atom.
Fractional positions:
Ba (0.0000, 0.0000, 0.0000)  8 Cl 3.19-3.39
Ba (0.7500, 0.2500, 0.5000)  8 Cl 3.19-3.39
Cl (0.0148, 0.6250, 0.8898)  2 Cl 2.74
Cl (0.2500, 0.7500, 0.5000)  4 Ba 3.39, 4 Cl 3.56
Cl (0.3750, 0.2648, 0.3898)  2 Cl 2.74
Cl (0.5000, 0.5000, 0.0000)  4 Ba 3.39, 4 Cl 3.56
Cl (0.7352, 0.1250, 0.1102)  2 Cl 2.74
Cl (0.8750, 0.9852, 0.6102)  2 Cl 2.74

DOS(E_F): 0.000 states/eV per cell
DFT total energy: -3.43 eV/atom
E_form (uncorrected): -6.3 eV/f.u.
V: 32.953 Å³ per atom


# 5
The following is a PBE-GGA calculation of a geometry-optimized BaCl5 structure, from Alexandria via LeMat-Bulk.

Cell: 4.9729 4.9729 7.9058 Å, 90.00 90.00 90.00°
With the nearest neighbours (Å) after each atom.
Fractional positions:
Ba (0.0000, 0.0000, 0.0000)  2 Cl 2.75
Cl (0.0000, 0.0000, 0.3475)  1 Cl 2.41
Cl (0.0000, 0.0000, 0.6525)  1 Cl 2.41
Cl (0.5000, 0.5000, 0.2013)  1 Cl 2.36
Cl (0.5000, 0.5000, 0.5000)  2 Cl 2.36
Cl (0.5000, 0.5000, 0.7987)  1 Cl 2.36

DOS(E_F): 0.100 states/eV per cell
DFT total energy: -2.69 eV/atom
E_form (uncorrected): -5.0 eV/f.u.
V: 32.585 Å³ per atom


# 6
The following is a PBE-GGA calculation of a geometry-optimized Ba4Cl structure, from Alexandria via LeMat-Bulk.

Cell: 12.1516 12.1516 12.1516 Å, 156.66 156.66 33.24°
With the nearest neighbours (Å) after each atom.
Fractional positions:
Ba (0.0897, 0.0897, 0.0000)  4 Cl 4.06, 5 Ba 4.18-4.47
Ba (0.2500, 0.7500, 0.5000)  4 Ba 3.48
Ba (0.7500, 0.2500, 0.5000)  4 Ba 3.48
Ba (0.9103, 0.9103, 0.0000)  4 Cl 4.06, 5 Ba 4.18-4.47
Cl (0.5000, 0.5000, 0.0000)  8 Ba 4.06

DOS(E_F): 7.045 states/eV per cell
DFT total energy: -2.14 eV/atom
E_form (uncorrected): -1.2 eV/f.u.
V: 56.279 Å³ per atom


# 7
The following is a PBE-GGA calculation of a geometry-optimized BaCl2 structure, from Alexandria via LeMat-Bulk.

Cell: 8.1819 8.1819 4.7177 Å, 90.00 90.00 120.00°
With the nearest neighbours (Å) after each atom.
Fractional positions:
Ba (0.0000, 0.0000, 0.0000)  9 Cl 3.16-3.36
Ba (0.3333, 0.6667, 0.5000)  9 Cl 3.09-3.42
Ba (0.6667, 0.3333, 0.5000)  9 Cl 3.09-3.42
Cl (0.0000, 0.4101, 0.0000)  5 Ba 3.36-3.42, 2 Cl 3.60
Cl (0.0000, 0.7431, 0.5000)  4 Ba 3.09-3.16
Cl (0.2569, 0.2569, 0.5000)  4 Ba 3.09-3.16
Cl (0.4101, 0.0000, 0.0000)  5 Ba 3.36-3.42, 2 Cl 3.60
Cl (0.5899, 0.5899, 0.0000)  5 Ba 3.36-3.42, 2 Cl 3.60
Cl (0.7431, 0.0000, 0.5000)  4 Ba 3.09-3.16

DOS(E_F): 0.000 states/eV per cell
DFT total energy: -4.40 eV/atom
E_form (uncorrected): -7.6 eV/f.u.
V: 30.389 Å³ per atom


# 8
The following is a PBE-GGA calculation of a geometry-optimized BaCl3 structure, from Alexandria via LeMat-Bulk.

Cell: 4.7712 4.7712 4.7712 Å, 90.00 90.00 90.00°
With the nearest neighbours (Å) after each atom.
Fractional positions:
Ba (0.0000, 0.0000, 0.0000)  12 Cl 3.37
Cl (0.0000, 0.5000, 0.5000)  4 Ba 3.37, 8 Cl 3.37
Cl (0.5000, 0.0000, 0.5000)  4 Ba 3.37, 8 Cl 3.37
Cl (0.5000, 0.5000, 0.0000)  4 Ba 3.37, 8 Cl 3.37

DOS(E_F): 2.793 states/eV per cell
DFT total energy: -3.48 eV/atom
E_form (uncorrected): -6.5 eV/f.u.
V: 27.153 Å³ per atom


# 9
The following is a PBE-GGA calculation of a geometry-optimized Ba2Cl structure, from Alexandria via LeMat-Bulk.

Cell: 8.9019 8.9019 8.9019 Å, 152.38 151.05 40.44°
With the nearest neighbours (Å) after each atom.
Fractional positions:
Ba (0.1451, 0.1451, 0.0000)  2 Cl 3.22
Ba (0.8549, 0.8549, 0.0000)  2 Cl 3.22
Cl (0.0000, 0.5000, 0.5000)  4 Ba 3.22

DOS(E_F): 3.642 states/eV per cell
DFT total energy: -2.97 eV/atom
E_form (uncorrected): -3.2 eV/f.u.
V: 52.663 Å³ per atom


# 10
The following is a PBE-GGA calculation of a geometry-optimized BaCl3 structure, from Alexandria via LeMat-Bulk.

Cell: 4.4513 4.4513 6.1365 Å, 90.00 90.00 90.28°
With the nearest neighbours (Å) after each atom.
Fractional positions:
Ba (0.0000, 0.0000, 0.0000)  10 Cl 3.07-3.43
Cl (0.0000, 0.0000, 0.5000)  2 Ba 3.07
Cl (0.5000, 0.5000, 0.2177)  1 Cl 2.67
Cl (0.5000, 0.5000, 0.7823)  1 Cl 2.67

DOS(E_F): 2.703 states/eV per cell
DFT total energy: -3.40 eV/atom
E_form (uncorrected): -6.1 eV/f.u.
V: 30.397 Å³ per atom


# 11
The following is a PBE-GGA calculation of a geometry-optimized BaCl3 structure, from Alexandria via LeMat-Bulk.

Cell: 5.8979 5.8979 5.8979 Å, 132.44 79.19 120.85°
With the nearest neighbours (Å) after each atom.
Fractional positions:
Ba (0.0000, 0.0000, 0.0000)  8 Cl 3.18-3.25
Cl (0.3970, 0.6981, 0.6989)  1 Cl 3.13, 3 Ba 3.20-3.25
Cl (0.6378, 0.1378, 0.5000)  2 Cl 3.13, 2 Ba 3.18
Cl (0.9992, 0.6981, 0.3011)  1 Cl 3.13, 3 Ba 3.20-3.25

DOS(E_F): 3.739 states/eV per cell
DFT total energy: -3.50 eV/atom
E_form (uncorrected): -6.5 eV/f.u.
V: 31.465 Å³ per atom


# 12
The following is a PBE-GGA calculation of a geometry-optimized BaCl3 structure, from Alexandria via LeMat-Bulk.

Cell: 4.7645 4.7645 4.8529 Å, 90.00 90.00 95.87°
With the nearest neighbours (Å) after each atom.
Fractional positions:
Ba (0.0000, 0.0000, 0.0000)  12 Cl 3.19-3.54
Cl (0.0000, 0.5000, 0.5000)  8 Cl 3.19-3.54, 4 Ba 3.40
Cl (0.5000, 0.0000, 0.5000)  8 Cl 3.19-3.54, 4 Ba 3.40
Cl (0.5000, 0.5000, 0.0000)  4 Ba 3.19-3.54, 8 Cl 3.40

DOS(E_F): 2.527 states/eV per cell
DFT total energy: -3.49 eV/atom
E_form (uncorrected): -6.5 eV/f.u.
V: 27.396 Å³ per atom


# 13
The following is a PBE-GGA calculation of a geometry-optimized Ba2Cl structure, from Alexandria via LeMat-Bulk.

Cell: 8.3580 8.3580 8.3580 Å, 151.91 151.91 40.14°
With the nearest neighbours (Å) after each atom.
Fractional positions:
Ba (0.1387, 0.1387, 0.0000)  4 Cl 3.60
Ba (0.8613, 0.8613, 0.0000)  4 Cl 3.60
Cl (0.5000, 0.5000, 0.0000)  8 Ba 3.60

DOS(E_F): 3.883 states/eV per cell
DFT total energy: -2.90 eV/atom
E_form (uncorrected): -3.0 eV/f.u.
V: 43.057 Å³ per atom


# 14
The following is a PBE-GGA calculation of a geometry-optimized BaCl2 structure, from Alexandria via LeMat-Bulk.

Cell: 5.8570 5.8570 7.5854 Å, 90.00 90.00 134.01°
With the nearest neighbours (Å) after each atom.
Fractional positions:
Ba (0.1116, 0.8884, 0.5000)  8 Cl 3.15-3.39
Ba (0.8884, 0.1116, 0.0000)  8 Cl 3.15-3.39
Cl (0.1936, 0.8064, 0.9320)  4 Ba 3.15-3.39, 1 Cl 3.51
Cl (0.4838, 0.5162, 0.7235)  4 Ba 3.16-3.27, 1 Cl 3.51
Cl (0.5162, 0.4838, 0.2235)  4 Ba 3.16-3.27, 1 Cl 3.51
Cl (0.8064, 0.1936, 0.4320)  4 Ba 3.15-3.39, 1 Cl 3.51

DOS(E_F): 0.000 states/eV per cell
DFT total energy: -4.34 eV/atom
E_form (uncorrected): -7.4 eV/f.u.
V: 31.192 Å³ per atom